(1)
Density functional theory data (PBE) for a relaxed structure of MgHgSO.

Properties
As for the energy above the most stable polymorph in this dataset: 743.1 meV/atom. As for the electronic total energy: -25.46 eV/cell.

POSCAR file:
```
MgHgSO
1.0
-0.031 -2.086 3.354
-1.939 -2.915 -1.831
8.618 -4.157 -2.506
Hg Mg O S
2 2 2 2
Direct
0.250 0.250 0.391
0.750 0.750 0.609
0.750 0.750 0.128
0.250 0.250 0.872
0.750 0.250 0.500
0.250 0.750 0.500
0.250 0.250 0.125
0.750 0.750 0.875
```

(2)
Density functional theory data (PBE) for a relaxed structure of ScPIr.

Properties
Its total magnetization is 0.0 μB per cell. As for the electronic total energy: -70.31 eV/cell.

POSCAR file:
```
ScPIr
1.0
6.748 0.000 0.000
-3.374 5.844 0.000
0.000 0.000 3.661
Ir P Sc
3 3 3
Direct
0.667 0.333 0.000
0.333 0.667 0.000
0.000 0.000 0.500
0.272 0.000 0.000
0.000 0.272 0.000
0.728 0.728 0.000
0.606 0.000 0.500
0.394 0.394 0.500
0.000 0.606 0.500
```

(3)
Density functional theory data (PBE) for a relaxed structure of NiI4.

Properties
Its total magnetization is 0.0 μB per cell. As for the energy above the most stable polymorph in this dataset: 7.4 meV/atom. As for the electronic total energy: -23.43 eV/cell.

POSCAR file:
```
NiI4
1.0
6.240 0.000 0.000
0.000 7.877 0.000
-2.137 0.000 6.722
I Ni
8 2
Direct
0.771 0.385 0.002
0.724 0.859 0.054
0.276 0.859 0.446
0.229 0.385 0.498
0.771 0.615 0.502
0.724 0.141 0.554
0.276 0.141 0.946
0.229 0.615 0.998
0.000 0.620 0.250
0.000 0.380 0.750
```

(4)
Density functional theory data (PBE) for a relaxed structure of GdNi2Au2.

Properties
Its total magnetization is 0.0 μB per cell. As for the energy above the most stable polymorph in this dataset: 23.5 meV/atom. As for the electronic total energy: -23.80 eV/cell.

POSCAR file:
```
GdNi2Au2
1.0
-1.931 1.931 6.092
1.931 -1.931 6.092
1.931 1.931 -6.092
Au Gd Ni
2 1 2
Direct
0.389 0.389 0.000
0.611 0.611 0.000
0.000 0.000 0.000
0.750 0.250 0.500
0.250 0.750 0.500
```

(5)
Density functional theory data (PBE) for a relaxed structure of Hf2CdN.

Properties
Its total magnetization is 0.0 μB per cell. As for the electronic total energy: -65.87 eV/cell.

POSCAR file:
```
Hf2CdN
1.0
-0.193 1.878 -2.658
0.140 -3.243 -0.303
-14.639 -0.688 0.574
Cd Hf N
2 4 2
Direct
0.667 0.333 0.250
0.333 0.667 0.750
0.333 0.667 0.082
0.333 0.667 0.418
0.667 0.333 0.582
0.667 0.333 0.918
0.000 0.000 0.000
0.000 0.000 0.500
```

(6)
Density functional theory data (PBE) for a relaxed structure of DyTm2Cu4Si2Ge2.

Properties
Its total magnetization is 0.0 μB per cell. As for the energy above the most stable polymorph in this dataset: 0.0 meV/atom. As for the electronic total energy: -55.56 eV/cell.

POSCAR file:
```
DyTm2Cu4Si2Ge2
1.0
-2.057 3.303 6.858
2.057 -3.303 6.858
2.057 3.303 -6.858
Cu Dy Ge Si Tm
4 1 2 2 2
Direct
0.634 0.325 0.309
0.984 0.675 0.309
0.016 0.325 0.691
0.366 0.675 0.691
0.000 0.000 0.000
0.692 0.500 0.192
0.308 0.500 0.808
0.217 0.217 0.000
0.783 0.783 0.000
0.629 0.129 0.500
0.371 0.871 0.500
```